# 1
This record from Alexandria describes crystalline Sr2YOsO8 at its relaxed geometry. The functional is PBE.

## Properties
Formation energy (no corrections), eV per atom: -1.9308
E, eV/atom: -6.991
Crystal system: monoclinic

Cell: 5.1297 6.8217 5.3719 Å, 90.00 90.50 90.00°
Space group P2/m (No. 10)
Symmetry-distinct sites (fractional):
Sr  0.0000  0.2415  0.0000 (multiplicity 2)
Y  0.5000  0.5000  0.5000 (multiplicity 1)
Os  0.5000  0.0000  0.5000 (multiplicity 1)
O  0.2872  0.2049  0.6252 (multiplicity 4)
O  0.2888  0.5000  0.1387 (multiplicity 2)
O  0.3052  0.0000  0.2099 (multiplicity 2)

# 2
This record from Alexandria describes crystalline Mg4H2Ir at its relaxed geometry. The functional is PBE.

## Properties
Energy above the most stable polymorph in this dataset, meV/atom: 44
E, eV/atom: -3.353
DOS(E_F), states/eV/atom: 0.170
Crystal system: triclinic

Cell: 5.1895 5.1968 5.2858 Å, 100.08 112.81 115.22°
Space group P1 (No. 1)
Symmetry-distinct sites (fractional):
Mg  0.0000  0.0000  0.0000 (multiplicity 1)
Mg  0.1142  0.4812  0.6743 (multiplicity 1)
Mg  0.4422  0.1112  0.6340 (multiplicity 1)
Mg  0.6342  0.6725  0.3090 (multiplicity 1)
H  0.0468  0.0660  0.6538 (multiplicity 1)
H  0.7214  0.2416  0.1547 (multiplicity 1)
Ir  0.0205  0.5401  0.1537 (multiplicity 1)

# 3
This record from Alexandria describes crystalline Al12PbO19 at its relaxed geometry. The functional is PBE.

## Properties
Formation energy (no corrections), eV per atom: -2.8909
E, eV/atom: -7.354
DOS(E_F), states/eV/atom: 0.000
Crystal system: hexagonal

Cell: 5.6265 5.6265 22.3040 Å, 90.00 90.00 120.00°
Space group P6_3mc (No. 186)
Symmetry-distinct sites (fractional):
Al  0.0000  0.0000  0.0000 (multiplicity 2)
Al  0.0000  0.0000  0.2384 (multiplicity 2)
Al  0.1674  0.3349  0.3919 (multiplicity 6)
Al  0.1695  0.3390  0.1080 (multiplicity 6)
Al  0.3333  0.6667  0.5284 (multiplicity 2)
Al  0.3333  0.6667  0.6897 (multiplicity 2)
Al  0.3333  0.6667  0.8093 (multiplicity 2)
Al  0.3333  0.6667  0.9724 (multiplicity 2)
Pb  0.3333  0.6667  0.2544 (multiplicity 2)
O  0.0000  0.0000  0.1498 (multiplicity 2)
O  0.0000  0.0000  0.3545 (multiplicity 2)
O  0.0024  0.5012  0.1469 (multiplicity 6)
O  0.0032  0.5016  0.3525 (multiplicity 6)
O  0.1544  0.3087  0.5522 (multiplicity 6)
O  0.1557  0.3115  0.9493 (multiplicity 6)
O  0.1813  0.3626  0.7489 (multiplicity 6)
O  0.3333  0.6667  0.0545 (multiplicity 2)
O  0.3333  0.6667  0.4460 (multiplicity 2)